Entry 1:
Density functional theory data (PBE-GGA) for crystalline AcPrSiGe at its relaxed geometry.

Results
total magnetization: 0.02 μB/cell
E: -5.41 eV per atom

a = 4.6415 Å, b = 4.1096 Å, c = 6.2054 Å
α = 90.00°, β = 111.96°, γ = 90.00°
Last column: nearest neighbours and their distance in Å.
Element x y z (fractional)
Pr (0.0278, 0.0000, 0.0556)  4 Si 3.17, 3 Ge 3.29-3.42
Ge (0.3250, 0.0000, 0.6500)  2 Si 2.63
Ac (0.7485, 0.5000, 0.4971)  4 Ge 3.22, 3 Si 3.23-3.43
Si (0.4682, 0.5000, 0.9365)  2 Ge 2.63

=====

Entry 2:
Density functional theory data (PBE-GGA) for crystalline K3Li2Bi2 at its relaxed geometry.

Results
total magnetization: 3.17 μB/cell
E: -2.50 eV per atom
ΔE_f: -36 kJ per mole of atoms

a = 6.8646 Å, b = 9.4216 Å, c = 15.4718 Å
α = 90.00°, β = 90.00°, γ = 90.00°
Last column: nearest neighbours and their distance in Å.
Element x y z (fractional)
Bi (0.3786, 0.2500, 0.0000)  4 Li 2.93-2.95
Bi (0.6214, 0.7500, 0.0000)  4 Li 2.93-2.95
Bi (0.8083, 0.4174, 0.2500)  2 Li 2.92
Bi (0.1917, 0.5826, 0.7500)  2 Li 2.92
Bi (0.8083, 0.0826, 0.7500)  2 Li 2.92
Bi (0.1917, 0.9174, 0.2500)  2 Li 2.92
Bi (0.3786, 0.2500, 0.5000)  4 Li 2.93-2.95
Bi (0.6214, 0.7500, 0.5000)  4 Li 2.93-2.95
K (0.8826, 0.3788, 0.8970)  4 Li 3.62-3.84, 4 Bi 3.64-4.00, 1 K 4.01
K (0.6774, 0.7782, 0.2500)  5 Bi 3.52-3.90, 4 Li 3.67-3.84
K (0.1174, 0.6212, 0.1030)  4 Li 3.62-3.84, 4 Bi 3.64-4.00, 1 K 4.01
K (0.8826, 0.3788, 0.6030)  4 Li 3.62-3.84, 4 Bi 3.64-4.00, 1 K 4.01
K (0.1174, 0.8788, 0.8970)  4 Li 3.62-3.84, 4 Bi 3.64-4.00, 1 K 4.01
K (0.8826, 0.1212, 0.1030)  4 Li 3.62-3.84, 4 Bi 3.64-4.00, 1 K 4.01
K (0.1174, 0.8788, 0.6030)  4 Li 3.62-3.84, 4 Bi 3.64-4.00, 1 K 4.01
K (0.1174, 0.6212, 0.3970)  4 Li 3.62-3.84, 4 Bi 3.64-4.00, 1 K 4.01
K (0.3226, 0.2782, 0.2500)  5 Bi 3.52-3.90, 4 Li 3.67-3.84
K (0.8826, 0.1212, 0.3970)  4 Li 3.62-3.84, 4 Bi 3.64-4.00, 1 K 4.01
K (0.6774, 0.7218, 0.7500)  5 Bi 3.52-3.90, 4 Li 3.67-3.84
K (0.3226, 0.2218, 0.7500)  5 Bi 3.52-3.90, 4 Li 3.67-3.84
Li (0.3949, 0.5259, 0.9124)  3 Bi 2.92-2.95, 1 Li 3.11
Li (0.6051, 0.0259, 0.9124)  3 Bi 2.92-2.95, 1 Li 3.11
Li (0.3949, 0.9741, 0.0876)  3 Bi 2.92-2.95, 1 Li 3.11
Li (0.6051, 0.4741, 0.4124)  3 Bi 2.92-2.95, 1 Li 3.11
Li (0.3949, 0.9741, 0.4124)  3 Bi 2.92-2.95, 1 Li 3.11
Li (0.3949, 0.5259, 0.5876)  3 Bi 2.92-2.95, 1 Li 3.11
Li (0.6051, 0.0259, 0.5876)  3 Bi 2.92-2.95, 1 Li 3.11
Li (0.6051, 0.4741, 0.0876)  3 Bi 2.92-2.95, 1 Li 3.11

=====

Entry 3:
Density functional theory data (PBE-GGA) for crystalline SmMgAl2 at its relaxed geometry.

Results
total magnetization: 0.00 μB/cell
E: -3.64 eV per atom
ΔE_f: -18 kJ per mole of atoms

a = 3.4856 Å, b = 3.4856 Å, c = 7.2282 Å
α = 90.00°, β = 90.00°, γ = 90.00°
Last column: nearest neighbours and their distance in Å.
Element x y z (fractional)
Al (0.0000, 0.0000, 0.2132)  4 Mg 2.91, 1 Al 3.08, 4 Sm 3.22
Al (0.0000, 0.0000, 0.7868)  4 Mg 2.91, 1 Al 3.08, 4 Sm 3.22
Sm (0.5000, 0.5000, 0.5000)  8 Al 3.22, 4 Sm 3.49
Mg (0.5000, 0.5000, 0.0000)  8 Al 2.91

=====

Entry 4:
Density functional theory data (PBE-GGA) for crystalline PuPaGeTe at its relaxed geometry.

Results
total magnetization: 6.89 μB/cell
E: -8.41 eV per atom

a = 5.1799 Å, b = 5.1799 Å, c = 5.1799 Å
α = 60.00°, β = 60.00°, γ = 60.00°
Last column: nearest neighbours and their distance in Å.
Element x y z (fractional)
Pu (0.0000, 0.0000, 0.0000)  4 Ge 3.17, 4 Te 3.17
Pa (0.5000, 0.5000, 0.5000)  4 Te 3.17, 4 Ge 3.17
Te (0.2500, 0.2500, 0.2500)  4 Pa 3.17, 4 Pu 3.17
Ge (0.7500, 0.7500, 0.7500)  4 Pu 3.17, 4 Pa 3.17